# Cs2DyNi3F12 (PBE with a Hubbard U, relaxed)
# Calculated total energy (eV per atom): -4.713
# Magnetic moment (μB per cell): 15.00
data_Cs2DyNi3F12
_chemical_formula_sum 'Cs6 Dy3 Ni9 F36'
_cell_length_a 7.3895
_cell_length_b 7.3895
_cell_length_c 18.9614
_cell_angle_alpha 90.00
_cell_angle_beta 90.00
_cell_angle_gamma 120.00
_symmetry_space_group_name_H-M 'R -3 m'
_symmetry_Int_Tables_number 166
_symmetry_space_group_name_Hall '-R 3 2"'
loop_
_atom_site_label
_atom_site_type_symbol
_atom_site_fract_x
_atom_site_fract_y
_atom_site_fract_z
Cs1 Cs 0.0000 0.0000 0.1133
Dy1 Dy 0.0000 0.0000 0.5000
Ni1 Ni 0.0000 0.5000 0.0000
F1 F 0.0424 0.5212 0.1060
F2 F 0.0756 0.5378 0.3436